CsTlIn3 PBE-GGA relaxed; formation energy = -0.097 eV/atom
1.0
4.898 0.000 1.699
-0.582 4.863 1.702
0.176 0.190 7.458
In Cs Tl
3 1 1
direct
0.780 0.584 0.146
0.153 0.457 0.397
0.655 0.958 0.397
0.403 0.207 0.899
0.017 0.820 0.671



Zr2TaSi PBE-GGA relaxed; formation energy without anion corrections = -0.29 eV per atom
1.0
-0.917 -2.748 -2.967
3.335 0.513 -1.506
3.593 -3.588 2.212
Zr Ta Si
2 1 1
direct
0.500 0.268 0.337
0.000 0.982 0.912
0.500 0.546 0.783
0.000 0.704 0.467



Pm2Pr4Ho5 PBE-GGA relaxed; formation energy = 0.104 eV/atom
1.0
5.589 0.000 -1.363
-0.295 6.527 -1.209
-0.526 1.610 9.979
Ho Pm Pr
5 2 4
direct
0.868 0.112 0.737
0.790 0.599 0.580
0.132 0.888 0.263
0.500 0.000 0.000
0.210 0.401 0.420
0.598 0.554 0.197
0.402 0.446 0.803
0.023 0.281 0.045
0.305 0.922 0.611
0.977 0.719 0.955
0.695 0.078 0.389



no.,theoretical density (g/cm3)
1,6.49
2,8.12
3,7.51